This record from Alexandria describes an optimized crystal structure of ScSeS. The functional is GGA-PBE. Values from VASP.

Geometry as Quantum ESPRESSO input:
```
&SYSTEM
  ibrav = 0, nat = 6, ntyp = 3
/
ATOMIC_SPECIES
Sc 44.96 Sc.upf
Se 78.96 Se.upf
S 32.06 S.upf
CELL_PARAMETERS angstrom
4.498 -2.014 0.000
4.498 2.014 0.000
-0.672 0.000 7.188
ATOMIC_POSITIONS crystal
Sc 0.183 0.183 0.204
Sc 0.817 0.817 0.796
Se 0.379 0.379 0.546
Se 0.621 0.621 0.454
S 0.132 0.132 0.852
S 0.868 0.868 0.148
```

Output
excess energy over the best structure of this formula in the dataset = 54.5 meV/atom
formation energy without anion corrections = -4.27 eV/f.u.
total energy = -6.07 eV per atom